## Tb3PrTe6 (GGA-PBE)

Data for Tb3PrTe6 after structural relaxation.

## Properties
Energy, eV/cell: -103.398
ΔE_f (raw), meV/atom: -1418
ρ, kg/m³: 6803
Total magnetization, μB per formula unit: 0.00

Cell: 4.413 12.551 12.916 Å, 109.29 90.00 90.00°
Atoms (fractional coordinates):
1 Tb 0.750 0.682 0.502
2 Tb 0.250 0.565 0.166
3 Tb 0.250 0.845 0.918
4 Tb 0.750 0.155 0.082
5 Tb 0.750 0.435 0.834
6 Tb 0.250 0.318 0.498
7 Pr 0.250 0.953 0.303
8 Pr 0.750 0.047 0.697
9 Te 0.250 0.884 0.532
10 Te 0.750 0.484 0.617
11 Te 0.250 0.086 0.903
12 Te 0.250 0.516 0.383
13 Te 0.250 0.608 0.940
14 Te 0.250 0.195 0.250
15 Te 0.750 0.914 0.097
16 Te 0.250 0.258 0.723
17 Te 0.750 0.392 0.060
18 Te 0.750 0.805 0.750
19 Te 0.750 0.742 0.277
20 Te 0.750 0.116 0.468

***

## TbPr4Te7 (GGA-PBE)

Data for TbPr4Te7 after structural relaxation.

## Properties
Energy, eV/cell: -62.984
ΔE_f (raw), meV/atom: -1437
ρ, kg/m³: 6363
Total magnetization, μB per formula unit: 0.00

Cell: 4.375 7.695 13.503 Å, 104.01 90.00 106.52°
Atoms (fractional coordinates):
1 Pr 0.300 0.601 0.191
2 Pr 0.700 0.400 0.808
3 Pr 0.000 0.999 0.997
4 Pr 0.114 0.228 0.426
5 Tb 0.885 0.770 0.576
6 Te 0.495 0.991 0.503
7 Te 0.662 0.324 0.049
8 Te 0.744 0.488 0.354
9 Te 0.035 0.071 0.778
10 Te 0.337 0.674 0.951
11 Te 0.963 0.926 0.216
12 Te 0.265 0.530 0.650

***

## Tb3Pr4Te8 (GGA-PBE)

Data for Tb3Pr4Te8 after structural relaxation.

## Properties
Energy, eV/cell: -79.505
ΔE_f (raw), meV/atom: -1424
ρ, kg/m³: 6906
Total magnetization, μB per formula unit: 0.00

Cell: 8.884 8.886 8.886 Å, 89.97 120.03 120.03°
Atoms (fractional coordinates):
1 Pr 0.000 0.000 0.500
2 Pr 0.000 0.000 0.000
3 Pr 0.000 0.500 0.000
4 Pr 0.500 0.000 0.000
5 Te 0.482 0.737 0.737
6 Te 0.518 0.263 0.263
7 Te 0.000 0.259 0.741
8 Te 0.500 0.746 0.254
9 Te 0.992 0.737 0.737
10 Te 0.000 0.741 0.259
11 Te 0.008 0.263 0.263
12 Te 0.500 0.254 0.746
13 Tb 0.500 0.000 0.500
14 Tb 0.500 0.500 0.000
15 Tb 0.500 0.500 0.500

***

total magnetization of number 3 (Tb3Pr4Te8)?
0.00 μB per formula unit

***

Which of these has the highest ΔE_f (raw)?
Tb3PrTe6